(1)
Computed, not measured: LiCu2Pb after structural relaxation at the GGA-PBE level of DFT.

Results
The formation energy comes out at 0.051 eV per atom. Its space group is Pmm2 (25).

Cell: 3.090 3.357 6.654 Å, 90.00 90.00 90.00°
Positions (direct):
Li 0.000 0.000 0.000
Cu 0.000 0.000 0.613
Cu 0.500 0.500 0.771
Pb 0.500 0.500 0.320


(2)
Computed, not measured: MgRu2Pb after structural relaxation at the GGA-PBE level of DFT.

Results
The formation energy comes out at 0.171 eV per atom. Its space group is P4mm (99).

Cell: 3.010 3.010 8.378 Å, 90.00 90.00 90.00°
Positions (direct):
Mg 0.000 0.000 0.000
Ru 0.000 0.000 0.608
Ru 0.500 0.500 0.789
Pb 0.500 0.500 0.353


(3)
Computed, not measured: KScC after structural relaxation at the GGA-PBE level of DFT.

Results
As for the energy above the most stable polymorph in this dataset: 4.494 kcal/mol of atoms. The formation energy comes out at 0.156 eV per atom. Its space group is P1 (1).

Cell: 3.288 3.399 12.139 Å, 90.32 91.19 90.00°
Positions (direct):
K 0.000 0.000 0.000
K 0.430 0.485 0.344
Sc 0.457 0.992 0.587
Sc 0.970 0.495 0.758
C 0.472 0.996 0.778
C 0.955 0.492 0.566


(4)
Computed, not measured: Y2CoH6Rh after structural relaxation at the GGA-PBE level of DFT.

Results
The total energy is -5.27 eV/atom. Its space group is Fmmm (69).

Cell: 5.078 5.070 5.050 Å, 60.23 60.07 59.69°
Positions (direct):
Y 0.250 0.250 0.250
Y 0.750 0.750 0.750
Co 0.000 0.000 0.000
H 0.236 0.236 0.764
H 0.237 0.763 0.237
H 0.238 0.762 0.762
H 0.762 0.238 0.238
H 0.763 0.237 0.763
H 0.764 0.764 0.236
Rh 0.500 0.500 0.500


(5)
Computed, not measured: Ba2Zn4Ga3Au after structural relaxation at the GGA-PBE level of DFT.

Results
The formation energy comes out at -0.352 eV per atom. Its space group is P-4m2 (115).

Cell: 4.682 4.682 10.446 Å, 90.00 90.00 90.00°
Positions (direct):
Ba 0.000 0.500 0.249
Ba 0.500 0.000 0.751
Zn 0.000 0.000 0.000
Zn 0.000 0.500 0.624
Zn 0.500 0.000 0.376
Zn 0.500 0.500 0.000
Ga 0.000 0.500 0.875
Ga 0.500 0.000 0.125
Ga 0.500 0.500 0.500
Au 0.000 0.000 0.500


(6)
Computed, not measured: K3ZnAu4 after structural relaxation at the GGA-PBE level of DFT.

Results
The formation energy comes out at -0.220 eV per atom. Its space group is Pmmn (59).

Cell: 5.798 12.788 6.393 Å, 90.00 90.00 90.00°
Positions (direct):
K 0.250 0.002 0.194
K 0.250 0.250 0.509
K 0.250 0.498 0.194
K 0.750 0.502 0.806
K 0.750 0.750 0.491
K 0.750 0.998 0.806
Zn 0.250 0.750 0.322
Zn 0.750 0.250 0.678
Au 0.012 0.250 0.006
Au 0.250 0.636 0.667
Au 0.250 0.864 0.667
Au 0.488 0.250 0.006
Au 0.512 0.750 0.994
Au 0.750 0.136 0.333
Au 0.750 0.364 0.333
Au 0.988 0.750 0.994


(7)
Computed, not measured: Pm3PrEr2Te6 after structural relaxation at the GGA-PBE level of DFT.

Results
The value obtained for the raw formation energy is -1.35 eV per atom. Its space group is C2/m (12).

Cell: 9.901 9.901 8.934 Å, 102.68 102.68 25.61°
Positions (direct):
Pm 0.000 0.000 0.000
Pm 0.341 0.341 0.667
Pm 0.659 0.659 0.333
Pr 0.000 0.000 0.500
Er 0.336 0.336 0.170
Er 0.664 0.664 0.830
Te 0.171 0.171 0.078
Te 0.172 0.172 0.595
Te 0.494 0.494 0.244
Te 0.506 0.506 0.756
Te 0.828 0.828 0.405
Te 0.829 0.829 0.922


(8)
Computed, not measured: SrZr2Tl after structural relaxation at the GGA-PBE level of DFT.

Results
As for the energy above the most stable polymorph in this dataset: 5.924 kcal/mol of atoms. The formation energy comes out at 0.308 eV per atom. Its space group is Pmmm (47).

Cell: 3.417 5.513 5.731 Å, 90.00 90.00 90.00°
Positions (direct):
Sr 0.000 0.000 0.000
Zr 0.000 0.500 0.500
Zr 0.500 0.000 0.500
Tl 0.500 0.500 0.000


(9)
Computed, not measured: Dy4ZnGa2 after structural relaxation at the GGA-PBE level of DFT.

Results
As for the energy above the most stable polymorph in this dataset: 2.460 kcal/mol of atoms. The formation energy comes out at -0.283 eV per atom. Its space group is R-3m (166).

Cell: 9.017 9.017 9.017 Å, 32.09 32.09 32.09°
Positions (direct):
Dy 0.125 0.125 0.125
Dy 0.290 0.290 0.290
Dy 0.710 0.710 0.710
Dy 0.875 0.875 0.875
Zn 0.500 0.500 0.500
Ga 0.405 0.405 0.405
Ga 0.595 0.595 0.595


(10)
Computed, not measured: DyU2PaN4 after structural relaxation at the GGA-PBE level of DFT.

Results
The value obtained for the raw formation energy is -1.47 eV per atom. Its space group is P2/m (10).

Cell: 5.995 3.453 5.998 Å, 90.00 109.42 90.00°
Positions (direct):
Dy 0.000 0.000 0.000
U 0.000 0.500 0.500
U 0.500 0.000 0.500
Pa 0.500 0.500 0.000
N 0.246 0.000 0.746
N 0.253 0.500 0.259
N 0.747 0.500 0.741
N 0.754 0.000 0.254


(11)
Computed, not measured: LiFeHg4 after structural relaxation at the GGA-PBE level of DFT.

Results
The formation energy comes out at 0.444 eV per atom. Its space group is F-43m (216).

Cell: 5.806 5.806 5.806 Å, 60.00 60.00 60.00°
Positions (direct):
Li 0.000 0.000 0.000
Fe 0.750 0.750 0.750
Hg 0.375 0.375 0.375
Hg 0.375 0.375 0.875
Hg 0.375 0.875 0.375
Hg 0.875 0.375 0.375


(12)
Computed, not measured: Co5Pb after structural relaxation at the GGA-PBE level of DFT.

Results
The formation energy comes out at 0.324 eV per atom. Its space group is P4/mmm (123).

Cell: 2.995 2.995 9.078 Å, 90.00 90.00 90.00°
Positions (direct):
Co 0.000 0.000 0.000
Co 0.000 0.000 0.276
Co 0.000 0.000 0.724
Co 0.500 0.500 0.138
Co 0.500 0.500 0.862
Pb 0.500 0.500 0.500


(13)
Computed, not measured: Th3PN5 after structural relaxation at the GGA-PBE level of DFT.

Results
The value obtained for the raw formation energy is -1.25 eV per atom. Its space group is I4/mcm (140).

Cell: 7.259 7.259 7.259 Å, 124.43 124.43 82.49°
Positions (direct):
Th 0.176 0.676 0.852
Th 0.250 0.250 0.000
Th 0.324 0.176 0.500
Th 0.676 0.824 0.500
Th 0.750 0.750 0.000
Th 0.824 0.324 0.148
P 0.250 0.750 0.500
P 0.750 0.250 0.500
N 0.000 0.000 0.000
N 0.020 0.793 0.500
N 0.207 0.707 0.226
N 0.293 0.520 0.500
N 0.480 0.980 0.774
N 0.500 0.500 0.000
N 0.520 0.020 0.226
N 0.707 0.480 0.500
N 0.793 0.293 0.774
N 0.980 0.207 0.500


(14)
Computed, not measured: La5NdBi4 after structural relaxation at the GGA-PBE level of DFT.

Results
The formation energy comes out at -0.650 eV per atom. Its space group is C2/m (12).

Cell: 10.226 10.226 9.075 Å, 104.56 104.56 25.84°
Positions (direct):
La 0.000 0.000 0.000
La 0.326 0.326 0.154
La 0.336 0.336 0.675
La 0.664 0.664 0.325
La 0.674 0.674 0.846
Nd 0.000 0.000 0.500
Bi 0.168 0.168 0.586
Bi 0.493 0.493 0.247
Bi 0.507 0.507 0.753
Bi 0.832 0.832 0.414


(15)
Computed, not measured: Pm5SiSn after structural relaxation at the GGA-PBE level of DFT.

Results
The value obtained for the raw formation energy is -0.29 eV per atom. Its space group is C2/c (15).

Cell: 6.419 6.419 11.550 Å, 101.57 101.57 68.16°
Positions (direct):
Pm 0.031 0.416 0.644
Pm 0.032 0.968 0.750
Pm 0.227 0.521 0.957
Pm 0.416 0.031 0.144
Pm 0.479 0.773 0.543
Pm 0.521 0.227 0.457
Pm 0.584 0.969 0.856
Pm 0.773 0.479 0.043
Pm 0.968 0.032 0.250
Pm 0.969 0.584 0.356
Si 0.000 0.000 0.000
Si 0.000 0.000 0.500
Sn 0.456 0.544 0.250
Sn 0.544 0.456 0.750


(16)
Computed, not measured: RhAu4 after structural relaxation at the GGA-PBE level of DFT.

Results
As for the energy above the most stable polymorph in this dataset: 22.808 kcal/mol of atoms. The formation energy comes out at 1.091 eV per atom. Its space group is Pm-3m (221).

Cell: 4.986 4.986 4.986 Å, 90.00 90.00 90.00°
Positions (direct):
Rh 0.000 0.000 0.000
Au 0.000 0.000 0.500
Au 0.000 0.500 0.000
Au 0.500 0.000 0.000
Au 0.500 0.500 0.500


(17)
Computed, not measured: Tl3PdRh2Se6 after structural relaxation at the GGA-PBE level of DFT.

Results
The value obtained for the raw formation energy is -0.35 eV per atom. Its space group is C2/m (12).

Cell: 6.707 6.707 7.511 Å, 98.50 98.50 119.92°
Positions (direct):
Tl 0.000 0.000 0.000
Tl 0.333 0.667 0.000
Tl 0.667 0.333 0.000
Pd 0.500 0.500 0.500
Rh 0.167 0.833 0.500
Rh 0.833 0.167 0.500
Se 0.103 0.441 0.326
Se 0.218 0.218 0.674
Se 0.441 0.103 0.326
Se 0.559 0.897 0.674
Se 0.782 0.782 0.326
Se 0.897 0.559 0.674


(18)
Computed, not measured: Sm2Nb2C3 after structural relaxation at the GGA-PBE level of DFT.

Results
The formation energy comes out at -0.340 eV per atom. Its space group is C2/m (12).

Cell: 6.287 6.287 5.927 Å, 109.42 109.42 31.96°
Positions (direct):
Sm 0.109 0.109 0.329
Sm 0.891 0.891 0.671
Nb 0.348 0.348 0.170
Nb 0.652 0.652 0.830
C 0.246 0.246 0.773
C 0.500 0.500 0.500
C 0.754 0.754 0.227


(19)
Computed, not measured: TiZnGe2 after structural relaxation at the GGA-PBE level of DFT.

Results
The formation energy comes out at -0.153 eV per atom. Its space group is P4/mmm (123).

Cell: 4.177 4.177 3.696 Å, 90.00 90.00 90.00°
Positions (direct):
Ti 0.000 0.000 0.000
Zn 0.500 0.500 0.000
Ge 0.000 0.500 0.500
Ge 0.500 0.000 0.500


(20)
Computed, not measured: ZrCdAs after structural relaxation at the GGA-PBE level of DFT.

Results
As for the energy above the most stable polymorph in this dataset: 1.677 kcal/mol of atoms. The formation energy comes out at -0.540 eV per atom. Its space group is Imm2 (44).

Cell: 9.722 9.722 9.722 Å, 158.22 158.10 31.08°
Positions (direct):
Zr 0.000 0.000 0.000
Zr 0.837 0.337 0.500
Cd 0.176 0.176 0.000
Cd 0.600 0.600 0.000
As 0.290 0.790 0.500
As 0.447 0.447 0.000


Number 1: size of the total moment 0.00 μB/f.u.. Number 2: size of the total moment 0.00 μB/f.u.. Number 3: size of the total moment 0.00 μB/f.u.. Number 4: size of the total moment 0.14 μB/f.u.. Number 5: size of the total moment 0.00 μB/f.u.. Number 6: size of the total moment 0.00 μB/f.u.. Number 7: size of the total moment 0.00 μB/f.u.. Number 8: size of the total moment 0.85 μB/f.u.. Number 9: size of the total moment 0.00 μB/f.u.. Number 10: size of the total moment 2.49 μB/f.u.. Number 11: size of the total moment 2.98 μB/f.u.. Number 12: size of the total moment 8.37 μB/f.u.. Number 13: size of the total moment 0.00 μB/f.u.. Number 14: size of the total moment 0.00 μB/f.u.. Number 15: size of the total moment 0.00 μB/f.u.. Number 16: size of the total moment 1.29 μB/f.u.. Number 17: size of the total moment 0.00 μB/f.u.. Number 18: size of the total moment 0.00 μB/f.u.. Number 19: size of the total moment 0.00 μB/f.u.. Number 20: size of the total moment 0.00 μB/f.u..